Be2Pd | PBE | optimized geometry

Unit cell a=2.8475 b=2.8475 c=4.3564 alpha=109.08 beta=109.08 gamma=90.00
Atoms (fractional coordinates):
Be1 0.6739 0.6739 0.3478
Be2 0.3261 0.3261 0.6522
Pd1 0.0000 0.0000 0.0000

Values from the calculation:
The density of states at the Fermi level is 1.00 states/eV per cell. As for the uncorrected energy: -4.580 eV/atom. Its formation energy is -364.8 meV per atom. The size of the total moment is 0.00 μB per formula unit.

---

TbCeHo2Er5 | PBE | optimized geometry

Unit cell a=5.6430 b=11.0206 c=9.4915 alpha=90.00 beta=90.00 gamma=104.83
Atoms (fractional coordinates):
Tb1 0.5968 0.1936 0.9261
Tb2 0.4032 0.8064 0.4261
Ce1 0.8075 0.6150 0.5207
Ce2 0.1925 0.3850 0.0207
Ho1 0.8868 0.7735 0.8216
Ho2 0.1347 0.2693 0.7061
Ho3 0.1132 0.2265 0.3216
Ho4 0.8653 0.7307 0.2061
Er1 0.3942 0.7884 0.0425
Er2 0.7335 0.4669 0.8333
Er3 0.4712 0.9425 0.7459
Er4 0.3066 0.6133 0.7145
Er5 0.9863 0.9726 0.5134
Er6 0.6058 0.2116 0.5425
Er7 0.2665 0.5331 0.3333
Er8 0.5288 0.0575 0.2459
Er9 0.6934 0.3867 0.2145
Er10 0.0137 0.0274 0.0134

Values from the calculation:
The density of states at the Fermi level is 31.23 states/eV per cell. As for the uncorrected energy: -4.552 eV/atom. Its formation energy is 173.6 meV per atom. The size of the total moment is 0.63 μB per formula unit.

---

Pr12DyTm6 | PBE | optimized geometry

Unit cell a=9.6097 b=9.6097 c=9.6097 alpha=110.89 beta=110.89 gamma=110.89
Atoms (fractional coordinates):
Pr1 0.3726 0.0585 0.5806
Pr2 0.0585 0.5806 0.3726
Pr3 0.5806 0.3726 0.0585
Pr4 0.6274 0.9415 0.4194
Pr5 0.9415 0.4194 0.6274
Pr6 0.4194 0.6274 0.9415
Pr7 0.1041 0.1571 0.7374
Pr8 0.2626 0.8959 0.8429
Pr9 0.8429 0.2626 0.8959
Pr10 0.8959 0.8429 0.2626
Pr11 0.7374 0.1041 0.1571
Pr12 0.1571 0.7374 0.1041
Dy1 0.0000 0.0000 0.0000
Tm1 0.2153 0.3182 0.4711
Tm2 0.6818 0.5289 0.7847
Tm3 0.5289 0.7847 0.6818
Tm4 0.7847 0.6818 0.5289
Tm5 0.3182 0.4711 0.2153
Tm6 0.4711 0.2153 0.3182

Values from the calculation:
The density of states at the Fermi level is 26.43 states/eV per cell. As for the uncorrected energy: -4.653 eV/atom. Its formation energy is 20.1 meV per atom. The size of the total moment is 0.00 μB per formula unit.

---

Li2ErIr3 | PBE | optimized geometry

Unit cell a=5.2678 b=6.6019 c=6.6019 alpha=75.44 beta=66.49 gamma=66.49
Atoms (fractional coordinates):
Li1 0.2903 0.9162 0.9162
Li2 0.3773 0.4162 0.4162
Li3 0.6227 0.5838 0.5838
Li4 0.7097 0.0838 0.0838
Er1 0.0459 0.2500 0.2500
Er2 0.9541 0.7500 0.7500
Ir1 0.0000 0.7315 0.2685
Ir2 0.0000 0.2685 0.7315
Ir3 0.5000 0.7685 0.2315
Ir4 0.5000 0.0000 0.5000
Ir5 0.5000 0.5000 0.0000
Ir6 0.5000 0.2315 0.7685

Values from the calculation:
The density of states at the Fermi level is 12.64 states/eV per cell. As for the uncorrected energy: -6.129 eV/atom. Its formation energy is -300.0 meV per atom. The size of the total moment is 0.00 μB per formula unit.

---

AcSmY | PBE | optimized geometry

Unit cell a=3.7660 b=3.7660 c=8.2255 alpha=103.23 beta=103.23 gamma=90.00
Atoms (fractional coordinates):
Y1 0.3281 0.3281 0.6561
Ac1 0.9996 0.9996 0.9993
Sm1 0.6723 0.6723 0.3446

Values from the calculation:
The density of states at the Fermi level is 4.47 states/eV per cell. As for the uncorrected energy: -5.050 eV/atom. Its formation energy is 47.6 meV per atom. The size of the total moment is 0.00 μB per formula unit.

---

ZrNb2Zn2 | PBE | optimized geometry

Unit cell a=7.3738 b=7.3738 c=3.2805 alpha=90.00 beta=90.00 gamma=90.00
Atoms (fractional coordinates):
Nb1 0.1777 0.6777 0.5000
Nb2 0.6777 0.8223 0.5000
Nb3 0.8223 0.3223 0.5000
Nb4 0.3223 0.1777 0.5000
Zn1 0.3800 0.8800 0.0000
Zn2 0.8800 0.6200 0.0000
Zn3 0.6200 0.1200 0.0000
Zn4 0.1200 0.3800 0.0000
Zr1 0.0000 0.0000 0.0000
Zr2 0.5000 0.5000 0.0000

Values from the calculation:
The density of states at the Fermi level is 12.11 states/eV per cell. As for the uncorrected energy: -6.228 eV/atom. Its formation energy is 19.5 meV per atom. The size of the total moment is 0.00 μB per formula unit.

---

MgFePt2 | PBE | optimized geometry

Unit cell a=9.1443 b=9.1443 c=9.1443 alpha=17.53 beta=17.53 gamma=17.53
Atoms (fractional coordinates):
Fe1 0.5009 0.5009 0.5009
Mg1 0.7508 0.7508 0.7508
Pt1 0.0034 0.0034 0.0034
Pt2 0.2449 0.2449 0.2449

Values from the calculation:
The density of states at the Fermi level is 3.17 states/eV per cell. As for the uncorrected energy: -5.713 eV/atom. Its formation energy is -178.8 meV per atom. The size of the total moment is 2.74 μB per formula unit.

---

Rb5AsO4F2 | PBE | optimized geometry

Unit cell a=6.6257 b=6.1289 c=8.0212 alpha=90.00 beta=90.00 gamma=122.72
Atoms (fractional coordinates):
Rb1 0.0880 0.3673 0.2344
Rb2 0.4161 0.0000 0.5000
Rb3 0.0880 0.3673 0.7656
Rb4 0.7207 0.6327 0.7656
Rb5 0.7207 0.6327 0.2344
As1 0.4075 0.0000 0.0000
O1 0.5631 0.0000 0.1748
O2 0.5631 0.0000 0.8252
O3 0.3895 0.2721 0.0000
O4 0.1174 0.7279 0.0000
F1 0.9485 0.5655 0.5000
F2 0.3830 0.4345 0.5000

Values from the calculation:
The density of states at the Fermi level is 0.00 states/eV per cell. As for the uncorrected energy: -4.727 eV/atom. The value obtained for the raw formation energy is -1.972 eV per atom. The size of the total moment is 0.17 μB per formula unit.

---

What is the uncorrected energy in the fourth record? -6.129 eV/atom

---

Which formula does entry 1 have? Be2Pd

---

What did the third record say?
Pr12DyTm6 | PBE | optimized geometry

Unit cell a=9.6097 b=9.6097 c=9.6097 alpha=110.89 beta=110.89 gamma=110.89
Atoms (fractional coordinates):
Pr1 0.3726 0.0585 0.5806
Pr2 0.0585 0.5806 0.3726
Pr3 0.5806 0.3726 0.0585
Pr4 0.6274 0.9415 0.4194
Pr5 0.9415 0.4194 0.6274
Pr6 0.4194 0.6274 0.9415
Pr7 0.1041 0.1571 0.7374
Pr8 0.2626 0.8959 0.8429
Pr9 0.8429 0.2626 0.8959
Pr10 0.8959 0.8429 0.2626
Pr11 0.7374 0.1041 0.1571
Pr12 0.1571 0.7374 0.1041
Dy1 0.0000 0.0000 0.0000
Tm1 0.2153 0.3182 0.4711
Tm2 0.6818 0.5289 0.7847
Tm3 0.5289 0.7847 0.6818
Tm4 0.7847 0.6818 0.5289
Tm5 0.3182 0.4711 0.2153
Tm6 0.4711 0.2153 0.3182

Values from the calculation:
The density of states at the Fermi level is 26.43 states/eV per cell. As for the uncorrected energy: -4.653 eV/atom. Its formation energy is 20.1 meV per atom. The size of the total moment is 0.00 μB per formula unit.